A geometry-optimized NaV2Ag structure. Source: Alexandria via LeMat-Bulk, functional PBE-GGA.

Computed properties:
The final energy comes out at -5.327 eV/atom.

```
data_NaV2Ag
_chemical_formula_sum 'Na2 V4 Ag2'
_cell_length_a 4.292
_cell_length_b 12.380
_cell_length_c 2.787
_cell_angle_alpha 90.00
_cell_angle_beta 90.00
_cell_angle_gamma 90.00
_symmetry_space_group_name_H-M 'P m n 21'
_symmetry_Int_Tables_number 31
_symmetry_space_group_name_Hall 'P 2ac -2'
loop_
_atom_site_label
_atom_site_fract_x
_atom_site_fract_y
_atom_site_fract_z
Na1 0.000 0.102 0.000
V1 0.000 0.362 0.898
V2 0.000 0.540 0.644
Ag1 0.000 0.754 0.988
```